*1*
Material: Eu3Lu
Method: DFT, GGA-PBE
State: relaxed

* space group: Pmmm
* ρ: 7.0 g cm⁻³

Cell: 5.260 5.281 5.410 Å, 90.00 90.00 90.00°
Positions (direct):
Eu 0.000 0.000 0.000
Eu 0.000 0.500 0.500
Eu 0.500 0.000 0.500
Lu 0.500 0.500 0.000

***

*2*
Material: Eu3Lu
Method: DFT, GGA-PBE
State: relaxed

* space group: P6_3/mmc
* ρ: 6.9 g cm⁻³

Cell: 7.589 7.589 6.072 Å, 90.00 90.00 120.00°
Positions (direct):
Eu 0.170 0.340 0.250
Eu 0.170 0.830 0.250
Eu 0.340 0.170 0.750
Eu 0.660 0.830 0.250
Eu 0.830 0.170 0.750
Eu 0.830 0.660 0.750
Lu 0.333 0.667 0.750
Lu 0.667 0.333 0.250

***

The structure with the least stability is *1*.

***

*1*
Material: EuLu2Mg
Method: DFT, GGA-PBE
State: relaxed

* space group: P4/mmm
* ρ: 7.2 g cm⁻³

Cell: 4.915 4.915 5.014 Å, 90.00 90.00 90.00°
Positions (direct):
Eu 0.000 0.000 0.000
Lu 0.000 0.500 0.500
Lu 0.500 0.000 0.500
Mg 0.500 0.500 0.000

***

*2*
Material: EuLu2Mg
Method: DFT, GGA-PBE
State: relaxed

* space group: R-3m
* ρ: 7.1 g cm⁻³

Cell: 12.240 12.240 12.240 Å, 16.14 16.14 16.14°
Positions (direct):
Eu 0.000 0.000 0.000
Lu 0.094 0.094 0.094
Lu 0.906 0.906 0.906
Mg 0.500 0.500 0.500

***

The structure with the least stability is *2*.

***

*1*
Material: EuLuN
Method: DFT, GGA-PBE
State: relaxed

* space group: P3m1
* ρ: 8.5 g cm⁻³

Cell: 3.503 3.503 6.267 Å, 90.00 90.00 120.00°
Positions (direct):
Eu 0.000 0.000 0.000
Lu 0.333 0.667 0.559
N 0.667 0.333 0.724

***

*2*
Material: EuLuN
Method: DFT, GGA-PBE
State: relaxed

* space group: I4mm
* ρ: 7.8 g cm⁻³

Cell: 7.194 7.194 7.194 Å, 153.81 153.81 37.38°
Positions (direct):
Eu 0.000 0.000 0.000
Lu 0.295 0.295 0.000
N 0.822 0.822 0.000

***

The structure with the least stability is *2*.

***

*1*
Material: NdEuLu2
Method: DFT, GGA-PBE
State: relaxed

* space group: P4/mmm
* ρ: 8.2 g cm⁻³

Cell: 5.125 5.125 4.981 Å, 90.00 90.00 90.00°
Positions (direct):
Nd 0.000 0.000 0.000
Eu 0.500 0.500 0.000
Lu 0.000 0.500 0.500
Lu 0.500 0.000 0.500

***

*2*
Material: NdEuLu2
Method: DFT, GGA-PBE
State: relaxed

* space group: P4/mmm
* ρ: 8.0 g cm⁻³

Cell: 3.636 3.636 10.092 Å, 90.00 90.00 90.00°
Positions (direct):
Nd 0.000 0.000 0.000
Eu 0.000 0.000 0.500
Lu 0.500 0.500 0.238
Lu 0.500 0.500 0.762

***

*3*
Material: NdEuLu2
Method: DFT, GGA-PBE
State: relaxed

* space group: R-3m
* ρ: 8.2 g cm⁻³

Cell: 11.901 11.901 11.901 Å, 17.39 17.39 17.39°
Positions (direct):
Nd 0.000 0.000 0.000
Eu 0.500 0.500 0.500
Lu 0.253 0.253 0.253
Lu 0.747 0.747 0.747

***

*4*
Material: NdEuLu2
Method: DFT, GGA-PBE
State: relaxed

* space group: Fm-3m
* ρ: 8.1 g cm⁻³

Cell: 5.719 5.719 5.719 Å, 60.00 60.00 60.00°
Positions (direct):
Nd 0.000 0.000 0.000
Eu 0.500 0.500 0.500
Lu 0.250 0.250 0.250
Lu 0.750 0.750 0.750

***

The structure with the least stability is *4*.